12
Lattice="5.369 0.000 0.000 0.000 9.684 0.000 0.000 0.000 7.577" Properties=species:S:1:pos:R:3 comment="SrPr3Hg2 PBE optimized geometry" crystal_system=orthorhombic magmom_total_mub_per_cell=0.00 polymorph_energy_mev_per_atom=0.0 ef_ev_per_atom=-0.32 pbc="T T T"
Sr 0.000 0.582 0.000
Sr 0.000 9.102 3.788
Pr 0.000 3.243 4.935
Pr 0.000 6.441 1.146
Pr 2.685 1.690 2.468
Pr 2.685 4.247 7.408
Pr 2.685 5.437 3.619
Pr 2.685 7.994 6.256
Hg 0.000 3.378 1.791
Hg 0.000 6.306 5.580
Hg 2.685 1.480 5.598
Hg 2.685 8.204 1.809

---

8
Lattice="5.481 0.000 0.000 0.000 5.481 0.000 0.000 0.000 7.861" Properties=species:S:1:pos:R:3 comment="SrPr3Hg4 PBE optimized geometry" crystal_system=tetragonal magmom_total_mub_per_cell=0.58 ef_ev_per_atom=-0.48 pbc="T T T"
Sr 0.000 0.000 0.000
Pr 0.000 0.000 3.931
Pr 2.740 2.740 0.000
Pr 2.740 2.740 3.931
Hg 0.000 2.740 2.008
Hg 0.000 2.740 5.853
Hg 2.740 0.000 2.008
Hg 2.740 0.000 5.853

---

12
Lattice="3.903 0.000 0.000 -1.951 3.380 0.000 0.000 0.000 34.155" Properties=species:S:1:pos:R:3 comment="SrPr2Hg PBE optimized geometry" crystal_system=trigonal magmom_total_mub_per_cell=0.00 polymorph_energy_mev_per_atom=69.0 ef_ev_per_atom=-0.07 pbc="T T T"
Sr 0.000 0.000 0.000
Sr 0.000 2.253 22.770
Sr 1.951 1.127 11.385
Pr 0.000 0.000 8.032
Pr 0.000 0.000 14.701
Pr 0.000 2.253 3.316
Pr 0.000 2.253 30.802
Pr 1.951 1.127 19.417
Pr 1.951 1.127 26.086
Hg 0.000 0.000 28.448
Hg 0.000 2.253 17.063
Hg 1.951 1.127 5.678

---

7
Lattice="2.678 1.546 9.035 -2.678 1.546 9.035 0.000 -3.092 9.035" Properties=species:S:1:pos:R:3 comment="SrPr2Hg4 PBE optimized geometry" crystal_system=trigonal magmom_total_mub_per_cell=0.00 ef_ev_per_atom=-0.32 pbc="T T T"
Sr 0.000 0.000 0.000
Pr 0.000 0.000 6.485
Pr 0.000 0.000 20.619
Hg 0.000 0.000 3.335
Hg 0.000 0.000 10.645
Hg 0.000 0.000 16.459
Hg 0.000 0.000 23.769

---

6
Lattice="5.067 0.000 0.000 0.000 5.067 0.000 0.000 0.000 8.434" Properties=species:S:1:pos:R:3 comment="SrPrHg PBE optimized geometry" crystal_system=tetragonal magmom_total_mub_per_cell=0.00 polymorph_energy_mev_per_atom=46.7 ef_ev_per_atom=-0.30 pbc="T T T"
Sr 1.267 1.267 1.149
Sr 3.800 3.800 7.285
Pr 1.267 3.800 4.217
Pr 3.800 1.267 4.217
Hg 1.267 1.267 6.248
Hg 3.800 3.800 2.186

---

12
Lattice="3.948 0.000 0.000 0.000 18.142 0.000 0.000 0.000 5.729" Properties=species:S:1:pos:R:3 comment="SrPrHg PBE optimized geometry" crystal_system=orthorhombic magmom_total_mub_per_cell=0.00 polymorph_energy_mev_per_atom=0.0 ef_ev_per_atom=-0.34 pbc="T T T"
Sr 0.000 1.383 1.432
Sr 0.000 16.759 4.297
Sr 1.974 7.688 4.297
Sr 1.974 10.454 1.432
Pr 0.000 4.074 4.297
Pr 0.000 14.069 1.432
Pr 1.974 4.997 1.432
Pr 1.974 13.145 4.297
Hg 0.000 7.529 1.432
Hg 0.000 10.613 4.297
Hg 1.974 1.542 4.297
Hg 1.974 16.600 1.432

---

11
Lattice="-2.672 3.620 7.883 2.672 -3.620 7.883 2.672 3.620 -7.883" Properties=species:S:1:pos:R:3 comment="SrPr2Hg8 PBE optimized geometry" crystal_system=orthorhombic magmom_total_mub_per_cell=0.00 ef_ev_per_atom=-0.36 pbc="T T T"
Sr 0.000 0.000 0.000
Pr 0.000 0.000 4.959
Pr 0.000 0.000 10.807
Hg 2.672 -1.597 5.431
Hg 2.672 0.000 2.503
Hg 2.672 2.102 0.000
Hg 0.000 2.022 2.452
Hg 2.672 1.597 5.431
Hg 0.000 1.518 7.883
Hg 0.000 3.620 5.380
Hg 0.000 5.217 2.452

---

3
Lattice="5.389 0.000 0.000 -2.694 4.667 0.000 0.000 0.000 4.276" Properties=species:S:1:pos:R:3 comment="SrPrHg PBE optimized geometry" crystal_system=trigonal magmom_total_mub_per_cell=0.00 polymorph_energy_mev_per_atom=179.9 ef_ev_per_atom=-0.16 pbc="T T T"
Sr 0.000 0.000 0.000
Pr 0.000 3.111 2.229
Hg 2.694 1.556 1.707